1 | A geometry-optimized SrCrH2O structure, computed with PBE+U.

a = 4.6181 Å, b = 4.4818 Å, c = 4.6181 Å
α = 90.00°, β = 90.00°, γ = 90.00°
Atoms (fractional coordinates):
Sr: 0.0000 0.5000 0.0000
H: 0.0000 0.0000 0.5000
H: 0.5000 0.0000 0.0000
O: 0.0000 0.0000 0.0000
Cr: 0.5000 0.5000 0.5000

---

2 | A geometry-optimized SrCrH2O structure, computed with PBE+U.

a = 3.7930 Å, b = 3.7930 Å, c = 4.1231 Å
α = 90.00°, β = 90.00°, γ = 90.00°
Atoms (fractional coordinates):
Sr: 0.5000 0.5000 0.5000
H: 0.0000 0.5000 0.0000
H: 0.5000 0.0000 0.0000
O: 0.0000 0.0000 0.5000
Cr: 0.0000 0.0000 0.0000

---

Stability verdict: 2, ahead by 156.8 kJ/mol of atoms